(1)
Cs2PAuS4 | PBEsol | relaxed

a b c (Å): 6.8976 20.0261 6.9815
angles (deg): 90.00 90.00 90.00
Last column: nearest neighbours and their distance in Å.
Positions (direct):
Cs 0.0884 0.1656 0.2500  6 S 3.50-3.74
Cs 0.0884 0.3344 0.7500  6 S 3.50-3.74
Cs 0.2935 0.0154 0.7500  9 S 3.41-3.72
Cs 0.2935 0.4846 0.2500  9 S 3.41-3.72
Cs 0.7065 0.5154 0.7500  9 S 3.41-3.72
Cs 0.7065 0.9846 0.2500  9 S 3.41-3.72
Cs 0.9116 0.6656 0.2500  6 S 3.50-3.74
Cs 0.9116 0.8344 0.7500  6 S 3.50-3.74
P 0.2209 0.6128 0.7500  4 S 2.01-2.10
P 0.2209 0.8872 0.2500  4 S 2.01-2.10
P 0.7791 0.1128 0.7500  4 S 2.01-2.10
P 0.7791 0.3872 0.2500  4 S 2.01-2.10
Au 0.3835 0.7500 0.0000  2 S 2.28
Au 0.3835 0.7500 0.5000  2 S 2.28
Au 0.6165 0.2500 0.0000  2 S 2.28
Au 0.6165 0.2500 0.5000  2 S 2.28
S 0.0357 0.1605 0.7500  1 P 2.01
S 0.0357 0.3395 0.2500  1 P 2.01
S 0.2051 0.5121 0.7500  1 P 2.02
S 0.2051 0.9879 0.2500  1 P 2.02
S 0.3815 0.6361 0.5039  1 P 2.10, 1 Au 2.28
S 0.3815 0.6361 0.9961  1 P 2.10, 1 Au 2.28
S 0.3815 0.8639 0.0039  1 P 2.10, 1 Au 2.28
S 0.3815 0.8639 0.4961  1 P 2.10, 1 Au 2.28
S 0.6185 0.1361 0.5039  1 P 2.10, 1 Au 2.28
S 0.6185 0.1361 0.9961  1 P 2.10, 1 Au 2.28
S 0.6185 0.3639 0.0039  1 P 2.10, 1 Au 2.28
S 0.6185 0.3639 0.4961  1 P 2.10, 1 Au 2.28
S 0.7949 0.0121 0.7500  1 P 2.02
S 0.7949 0.4879 0.2500  1 P 2.02
S 0.9643 0.6605 0.7500  1 P 2.01
S 0.9643 0.8395 0.2500  1 P 2.01

Results
* volume: 30.14 Å³ per atom
* formation energy (no corrections): -0.80 eV/atom
* DFT total energy: -142.12 eV per cell

(2)
CsZrP2Au | PBEsol | relaxed

a b c (Å): 4.9062 4.9062 8.0112
angles (deg): 90.00 90.00 90.00
Last column: nearest neighbours and their distance in Å.
Positions (direct):
Cs 0.0000 0.0000 0.0000  4 Au 3.47
Zr 0.0000 0.0000 0.5000  4 P 2.45
P 0.0000 0.5000 0.5000  2 Zr 2.45
P 0.5000 0.0000 0.5000  2 Zr 2.45
Au 0.5000 0.5000 0.0000  4 Cs 3.47

Results
* volume: 38.57 Å³ per atom
* DFT total energy: -23.05 eV per cell

(3)
Cs3Pb4Au | PBEsol | relaxed

a b c (Å): 7.2252 13.8436 6.8303
angles (deg): 90.00 90.00 90.00
Last column: nearest neighbours and their distance in Å.
Positions (direct):
Cs 0.2500 0.0012 0.1743  1 Au 3.61, 2 Pb 3.85-3.94
Cs 0.2500 0.2500 0.5460  2 Au 3.74, 4 Pb 3.88-4.01
Cs 0.2500 0.4988 0.1743  1 Au 3.61, 2 Pb 3.85-3.94
Cs 0.7500 0.5012 0.8257  1 Au 3.61, 2 Pb 3.85-3.94
Cs 0.7500 0.7500 0.4540  2 Au 3.74, 4 Pb 3.88-4.01
Cs 0.7500 0.9988 0.8257  1 Au 3.61, 2 Pb 3.85-3.94
Pb 0.0226 0.7500 0.9648  1 Au 2.90, 2 Pb 3.07
Pb 0.2500 0.6339 0.6672  1 Au 2.90, 3 Pb 3.07-3.21
Pb 0.2500 0.8661 0.6672  1 Au 2.90, 3 Pb 3.07-3.21
Pb 0.4774 0.7500 0.9648  1 Au 2.90, 2 Pb 3.07
Pb 0.5226 0.2500 0.0352  1 Au 2.90, 2 Pb 3.07
Pb 0.7500 0.1339 0.3328  1 Au 2.90, 3 Pb 3.07-3.21
Pb 0.7500 0.3661 0.3328  1 Au 2.90, 3 Pb 3.07-3.21
Pb 0.9774 0.2500 0.0352  1 Au 2.90, 2 Pb 3.07
Au 0.2500 0.7500 0.3142  4 Pb 2.90
Au 0.7500 0.2500 0.6858  4 Pb 2.90

Results
* volume: 42.70 Å³ per atom
* DFT total energy: -49.67 eV per cell

(4)
CsSrPd2Au | PBEsol | relaxed

a b c (Å): 5.2334 5.2334 5.3937
angles (deg): 90.00 90.00 90.00
Last column: nearest neighbours and their distance in Å.
Positions (direct):
Cs 0.0000 0.0000 0.0000  4 Sr 3.70, 8 Pd 3.76
Sr 0.5000 0.5000 0.0000  2 Au 2.70
Pd 0.0000 0.5000 0.5000  2 Au 2.62
Pd 0.5000 0.0000 0.5000  2 Au 2.62
Au 0.5000 0.5000 0.5000  4 Pd 2.62, 2 Sr 2.70

Results
* volume: 29.54 Å³ per atom
* DFT total energy: -17.71 eV per cell

(5)
Cs2RbAu | PBEsol | relaxed

a b c (Å): 12.3278 12.3278 7.0007
angles (deg): 90.00 90.00 90.00
Last column: nearest neighbours and their distance in Å.
Positions (direct):
Cs 0.1153 0.7500 0.1250  2 Au 3.50
Cs 0.2500 0.1153 0.8750  2 Au 3.50
Cs 0.2500 0.3847 0.3750  2 Au 3.50
Cs 0.3847 0.7500 0.6250  2 Au 3.50
Cs 0.6153 0.2500 0.6250  2 Au 3.50
Cs 0.7500 0.6153 0.3750  2 Au 3.50
Cs 0.7500 0.8847 0.8750  2 Au 3.50
Cs 0.8847 0.2500 0.1250  2 Au 3.50
Rb 0.0000 0.0000 0.5000  2 Au 3.50
Rb 0.0000 0.5000 0.7500  2 Au 3.50
Rb 0.5000 0.0000 0.2500  2 Au 3.50
Rb 0.5000 0.5000 0.0000  2 Au 3.50
Au 0.0000 0.0000 0.0000  2 Rb 3.50, 4 Cs 3.50
Au 0.0000 0.5000 0.2500  2 Rb 3.50, 4 Cs 3.50
Au 0.5000 0.0000 0.7500  2 Rb 3.50, 4 Cs 3.50
Au 0.5000 0.5000 0.5000  2 Rb 3.50, 4 Cs 3.50

Results
* volume: 66.50 Å³ per atom
* DFT total energy: -28.10 eV per cell

(6)
CsRb2Au2 | PBEsol | relaxed

a b c (Å): 9.7021 9.7021 3.9840
angles (deg): 90.00 90.00 90.00
Last column: nearest neighbours and their distance in Å.
Positions (direct):
Cs 0.0000 0.0000 0.0000  4 Rb 3.82, 2 Cs 3.98, 8 Au 4.12
Cs 0.5000 0.5000 0.0000  4 Rb 3.82, 2 Cs 3.98, 8 Au 4.12
Rb 0.1282 0.3718 0.0000  6 Au 3.42-3.53, 1 Rb 3.52, 2 Cs 3.82
Rb 0.3718 0.8718 0.0000  6 Au 3.42-3.53, 1 Rb 3.52, 2 Cs 3.82
Rb 0.6282 0.1282 0.0000  6 Au 3.42-3.53, 1 Rb 3.52, 2 Cs 3.82
Rb 0.8718 0.6282 0.0000  6 Au 3.42-3.53, 1 Rb 3.52, 2 Cs 3.82
Au 0.1696 0.6696 0.5000  6 Rb 3.42-3.53
Au 0.3304 0.1696 0.5000  6 Rb 3.42-3.53
Au 0.6696 0.8304 0.5000  6 Rb 3.42-3.53
Au 0.8304 0.3304 0.5000  6 Rb 3.42-3.53

Results
* volume: 37.50 Å³ per atom
* relative energy among the computed polymorphs: 23 meV/atom
* DFT total energy: -22.47 eV per cell

(7)
CsRb2Au7 | PBEsol | relaxed

a b c (Å): 7.2692 7.1810 7.1810
angles (deg): 46.06 90.00 90.00
Last column: nearest neighbours and their distance in Å.
Positions (direct):
Cs 0.0000 0.0000 0.0000  8 Au 3.56-3.77, 2 Rb 3.65
Rb 0.0000 0.6763 0.6763  8 Au 3.51-3.81, 2 Cs 3.65
Rb 0.5000 0.8371 0.8371  12 Au 3.44-3.59
Au 0.0000 0.3350 0.3350  4 Au 2.63-2.65
Au 0.3075 0.2300 0.2300  5 Au 2.63-2.81
Au 0.3067 0.4427 0.4427  5 Au 2.65-2.81
Au 0.5000 0.3383 0.8358  6 Au 2.74-2.82
Au 0.5000 0.8358 0.3383  6 Au 2.74-2.82
Au 0.6925 0.2300 0.2300  5 Au 2.63-2.81
Au 0.6933 0.4427 0.4427  5 Au 2.65-2.81

Results
* volume: 26.99 Å³ per atom
* DFT total energy: -32.56 eV per cell

(8)
CsRb2Au2 | PBEsol | relaxed

a b c (Å): 5.3023 5.3023 14.3206
angles (deg): 90.00 90.00 90.00
Last column: nearest neighbours and their distance in Å.
Positions (direct):
Cs 0.0000 0.0000 0.0000  8 Au 3.99, 8 Rb 4.45
Cs 0.5000 0.5000 0.5000  8 Au 3.99, 8 Rb 4.45
Rb 0.0000 0.5000 0.2500  4 Au 3.46, 4 Rb 3.75
Rb 0.0000 0.5000 0.7500  4 Au 3.46, 4 Rb 3.75
Rb 0.5000 0.0000 0.2500  4 Au 3.46, 4 Rb 3.75
Rb 0.5000 0.0000 0.7500  4 Au 3.46, 4 Rb 3.75
Au 0.0000 0.0000 0.4050  1 Au 2.72
Au 0.0000 0.0000 0.5950  1 Au 2.72
Au 0.5000 0.5000 0.0950  1 Au 2.72
Au 0.5000 0.5000 0.9050  1 Au 2.72

Results
* volume: 40.26 Å³ per atom
* relative energy among the computed polymorphs: 0 meV/atom
* DFT total energy: -22.70 eV per cell

(9)
Cs2ReAu | PBEsol | relaxed

a b c (Å): 8.2853 8.2853 8.2853
angles (deg): 90.00 90.00 90.00
Last column: nearest neighbours and their distance in Å.
Positions (direct):
Cs 0.2500 0.2500 0.2500  4 Re 3.59, 4 Au 3.59
Cs 0.2500 0.2500 0.7500  4 Re 3.59, 4 Au 3.59
Cs 0.2500 0.7500 0.2500  4 Re 3.59, 4 Au 3.59
Cs 0.2500 0.7500 0.7500  4 Re 3.59, 4 Au 3.59
Cs 0.7500 0.2500 0.2500  4 Re 3.59, 4 Au 3.59
Cs 0.7500 0.2500 0.7500  4 Re 3.59, 4 Au 3.59
Cs 0.7500 0.7500 0.2500  4 Re 3.59, 4 Au 3.59
Cs 0.7500 0.7500 0.7500  4 Re 3.59, 4 Au 3.59
Re 0.0000 0.0000 0.0000  8 Cs 3.59
Re 0.0000 0.5000 0.5000  8 Cs 3.59
Re 0.5000 0.0000 0.5000  8 Cs 3.59
Re 0.5000 0.5000 0.0000  8 Cs 3.59
Au 0.0000 0.0000 0.5000  8 Cs 3.59
Au 0.0000 0.5000 0.0000  8 Cs 3.59
Au 0.5000 0.0000 0.0000  8 Cs 3.59
Au 0.5000 0.5000 0.5000  8 Cs 3.59

Results
* volume: 35.55 Å³ per atom
* DFT total energy: -50.89 eV per cell

(10)
Cs2ZrRhAu | PBEsol | relaxed

a b c (Å): 6.7535 6.7535 4.5928
angles (deg): 90.00 90.00 90.00
Last column: nearest neighbours and their distance in Å.
Positions (direct):
Cs 0.0000 0.5000 0.0000  2 Zr 3.38
Cs 0.5000 0.0000 0.0000  2 Zr 3.38
Zr 0.0000 0.0000 0.0000  2 Rh 2.30
Rh 0.0000 0.0000 0.5000  2 Zr 2.30
Au 0.5000 0.5000 0.5000  8 Cs 4.08

Results
* volume: 41.89 Å³ per atom
* DFT total energy: -18.58 eV per cell

(11)
CsAuS2 | PBEsol | relaxed

a b c (Å): 5.8829 5.8829 13.9740
angles (deg): 90.00 90.00 120.00
Last column: nearest neighbours and their distance in Å.
Positions (direct):
Cs 0.0000 0.0000 0.0000  6 S 3.40
Cs 0.3333 0.6667 0.6667  6 S 3.40
Cs 0.6667 0.3333 0.3333  6 S 3.40
Au 0.0000 0.0000 0.5000  2 S 2.19
Au 0.3333 0.6667 0.1667  2 S 2.19
Au 0.6667 0.3333 0.8333  2 S 2.19
S 0.0000 0.0000 0.3431  1 Au 2.19
S 0.0000 0.0000 0.6569  1 Au 2.19
S 0.3333 0.6667 0.0097  1 Au 2.19
S 0.3333 0.6667 0.3236  1 Au 2.19
S 0.6667 0.3333 0.6764  1 Au 2.19
S 0.6667 0.3333 0.9903  1 Au 2.19

Results
* volume: 34.90 Å³ per atom
* formation energy (no corrections): -0.19 eV/atom
* DFT total energy: -43.14 eV per cell

(12)
CsAuS | PBEsol | relaxed

a b c (Å): 6.9170 8.4162 6.6333
angles (deg): 90.00 90.00 90.00
Last column: nearest neighbours and their distance in Å.
Positions (direct):
Cs 0.0000 0.1265 0.2500  5 S 3.50-3.67, 2 Au 3.55
Cs 0.0000 0.8735 0.7500  5 S 3.50-3.67, 2 Au 3.55
Cs 0.5000 0.3735 0.7500  5 S 3.50-3.67, 2 Au 3.55
Cs 0.5000 0.6265 0.2500  5 S 3.50-3.67, 2 Au 3.55
Au 0.0000 0.5000 0.0000  2 S 2.30
Au 0.0000 0.5000 0.5000  2 S 2.30
Au 0.5000 0.0000 0.0000  2 S 2.30
Au 0.5000 0.0000 0.5000  2 S 2.30
S 0.0000 0.3101 0.7500  2 Au 2.30
S 0.0000 0.6899 0.2500  2 Au 2.30
S 0.5000 0.1899 0.2500  2 Au 2.30
S 0.5000 0.8101 0.7500  2 Au 2.30

Results
* volume: 32.18 Å³ per atom
* formation energy (no corrections): -0.76 eV/atom
* DFT total energy: -46.09 eV per cell

Which of these has the lowest volume?
CsRb2Au7

Look up the DFT total energy of the third one.
-49.67 eV per cell

Look up the volume of the ninth one.
35.55 Å³ per atom